DFT (PBE with a Hubbard U) results for an optimized crystal structure of KMn3Cr4O12.

a = 6.4764 Å, b = 6.4764 Å, c = 6.4764 Å
α = 109.47°, β = 109.47°, γ = 109.47°
Last column: nearest neighbours and their distance in Å.
Positions (direct):
K: 0.0000 0.0000 0.0000  12 O 2.73
Mn: 0.0000 0.5000 0.5000  4 O 1.95
Mn: 0.5000 0.5000 0.0000  4 O 1.95
Mn: 0.5000 0.0000 0.5000  4 O 1.95
Cr: 0.5000 0.0000 0.0000  6 O 2.00
Cr: 0.5000 0.5000 0.5000  6 O 2.00
Cr: 0.0000 0.5000 0.0000  6 O 2.00
Cr: 0.0000 0.0000 0.5000  6 O 2.00
O: 0.3155 0.8162 0.1317  1 Mn 1.95, 2 Cr 2.00
O: 0.6845 0.1838 0.8683  1 Mn 1.95, 2 Cr 2.00
O: 0.6845 0.8162 0.5007  1 Mn 1.95, 2 Cr 2.00
O: 0.8683 0.6845 0.1838  1 Mn 1.95, 2 Cr 2.00
O: 0.8162 0.1317 0.3155  1 Mn 1.95, 2 Cr 2.00
O: 0.1838 0.4993 0.3155  1 Mn 1.95, 2 Cr 2.00
O: 0.4993 0.3155 0.1838  1 Mn 1.95, 2 Cr 2.00
O: 0.1838 0.8683 0.6845  1 Mn 1.95, 2 Cr 2.00
O: 0.3155 0.1838 0.4993  1 Mn 1.95, 2 Cr 2.00
O: 0.1317 0.3155 0.8162  1 Mn 1.95, 2 Cr 2.00
O: 0.8162 0.5007 0.6845  1 Mn 1.95, 2 Cr 2.00
O: 0.5007 0.6845 0.8162  1 Mn 1.95, 2 Cr 2.00

Results
* space-group type: No. 204
* DOS(E_F): 0.441 states/eV/atom
* total DFT energy (no corrections): -7.3407 eV/atom